GdPaPdPt | GGA-PBE | optimized geometry

extended XYZ file:
```
4
Lattice="0.0000 3.5270 3.5270 3.5270 0.0000 3.5270 3.5270 3.5270 0.0000" Properties=species:S:1:pos:R:3 pbc="T T T"
Gd 0.0000 0.0000 0.0000
Pa 3.5270 3.5270 3.5270
Pd 5.2905 5.2905 5.2905
Pt 1.7635 1.7635 1.7635
```

VASP energy   -37.74 eV for the cell shown
DFT formation energy   -0.732 eV per atom
Total magnetic moment   8.1 Bohr magnetons per cell
Theoretical density   13.05 Mg/m³

---

GdPaZnPd | GGA-PBE | optimized geometry

extended XYZ file:
```
4
Lattice="0.0000 3.5482 3.5482 3.5482 0.0000 3.5482 3.5482 3.5482 0.0000" Properties=species:S:1:pos:R:3 pbc="T T T"
Gd 0.0000 0.0000 0.0000
Pa 3.5482 3.5482 3.5482
Zn 5.3223 5.3223 5.3223
Pd 1.7741 1.7741 1.7741
```

VASP energy   -31.01 eV for the cell shown
DFT formation energy   -0.241 eV per atom
Total magnetic moment   7.9 Bohr magnetons per cell
Theoretical density   10.41 Mg/m³

---

PmGd2Pa | GGA-PBE | optimized geometry

extended XYZ file:
```
4
Lattice="1.6773 0.9684 12.3455 -1.6773 0.9684 12.3455 0.0000 -1.9368 12.3455" Properties=species:S:1:pos:R:3 pbc="T T T"
Pm 0.0000 0.0000 0.0000
Gd 0.0000 0.0000 15.3429
Gd 0.0000 0.0000 21.6935
Pa 0.0000 0.0000 18.5182
```

Offset from the most stable computed form   177.9 meV/atom
VASP energy   -41.20 eV for the cell shown
DFT formation energy   0.301 eV per atom
Total magnetic moment   14.3 Bohr magnetons per cell
Theoretical density   9.53 Mg/m³

---

- Which formula does entry 3 have?
  PmGd2Pa